Material: In2CuH
Method: DFT, PBE
State: relaxed

a b c (Å): 6.476 6.476 6.476
angles (deg): 90.00 90.00 90.00
Space group Fm-3m (No. 225)
Inequivalent atoms, fractional coordinates:
1 In 0.250 0.250 0.250
2 Cu 0.000 0.000 0.000
3 H 0.000 0.000 0.500

Output
ΔE to the lowest computed polymorph	0.000	eV/atom
volume	17.0	Å³ per atom
raw total energy	-2.840	eV/atom